(1)
Material: PmSmSi2
Method: DFT, PBE-GGA
State: optimized geometry

Calculated values
Its space group is No. 166. The calculation puts the magnetization at 0.0 μB/f.u. The volume is 24.98 A^3/atom. As for the uncorrected formation energy: -465 meV/atom.

a = 4.710 Å, b = 4.710 Å, c = 5.870 Å
α = 66.35°, β = 66.35°, γ = 60.00°
Atoms (fractional coordinates):
Si 0.751 0.751 0.746
Si 0.249 0.249 0.254
Sm 0.500 0.500 0.500
Pm 0.000 0.000 0.000

---

(2)
Material: Mg2PbW
Method: DFT, PBE-GGA
State: optimized geometry

Calculated values
Its space group is No. 166. The calculation puts the magnetization at 0.0 μB/f.u. For the total energy, the calculation gives -4.524 eV per atom. The volume is 21.13 A^3/atom.

a = 10.186 Å, b = 10.186 Å, c = 10.186 Å
α = 17.62°, β = 17.62°, γ = 17.62°
Atoms (fractional coordinates):
Mg 0.009 0.009 0.009
Mg 0.491 0.491 0.491
Pb 0.250 0.250 0.250
W 0.750 0.750 0.750

---

(3)
Material: Pm2TeAs
Method: DFT, PBE-GGA
State: optimized geometry

Calculated values
Its space group is No. 59. The calculation puts the magnetization at 0.0 μB/f.u. The volume is 29.33 A^3/atom. As for the uncorrected formation energy: -1528 meV/atom.

a = 4.308 Å, b = 6.155 Å, c = 8.849 Å
α = 90.00°, β = 90.00°, γ = 90.00°
Atoms (fractional coordinates):
Pm 0.000 0.000 0.842
Pm 0.000 0.000 0.392
Pm 0.500 0.500 0.608
Pm 0.500 0.500 0.158
Te 0.000 0.500 0.882
Te 0.500 0.000 0.118
As 0.500 0.000 0.621
As 0.000 0.500 0.379

---

(4)
Material: Ag2Br
Method: DFT, PBE-GGA
State: optimized geometry

Calculated values
Its space group is No. 1. The calculation puts the magnetization at 0.0 μB/f.u. The volume is 23.93 A^3/atom. As for the uncorrected formation energy: -115 meV/atom.

a = 4.457 Å, b = 5.308 Å, c = 6.980 Å
α = 112.30°, β = 108.37°, γ = 90.16°
Atoms (fractional coordinates):
Br 0.745 0.127 0.270
Br 0.076 0.458 0.932
Ag 0.406 0.476 0.601
Ag 0.525 0.081 0.837
Ag 0.907 0.788 0.601
Ag 0.292 0.846 0.366

---

(5)
Material: Pm5NdSn2
Method: DFT, PBE-GGA
State: optimized geometry

Calculated values
Its space group is No. 71. The calculation puts the magnetization at 0.0 μB/f.u. For the total energy, the calculation gives -4.878 eV per atom. The volume is 32.95 A^3/atom.

a = 4.640 Å, b = 7.913 Å, c = 7.913 Å
α = 78.63°, β = 72.95°, γ = 72.95°
Atoms (fractional coordinates):
Pm 0.000 0.500 0.500
Pm 0.656 0.531 0.156
Pm 0.344 0.469 0.844
Pm 0.344 0.844 0.469
Pm 0.656 0.156 0.531
Nd 0.000 0.000 0.000
Sn 0.709 0.791 0.791
Sn 0.291 0.209 0.209

---

(6)
Material: TmFeCo10
Method: DFT, PBE-GGA
State: optimized geometry

Calculated values
Its space group is No. 47. The calculation puts the magnetization at 19.1 μB/f.u. For the total energy, the calculation gives -6.926 eV per atom. The volume is 12.99 A^3/atom.

a = 4.020 Å, b = 4.710 Å, c = 8.233 Å
α = 90.00°, β = 90.00°, γ = 90.00°
Each line ends with the local moment (μB).
Atoms (fractional coordinates):
Tm 0.000 0.500 0.500  -0.39
Fe 0.000 0.000 0.000  3.09
Co 0.000 0.000 0.302  1.57
Co 0.000 0.500 0.849  1.65
Co 0.000 0.500 0.151  1.65
Co 0.000 0.000 0.698  1.57
Co 0.500 0.000 0.500  1.63
Co 0.500 0.500 0.000  1.76
Co 0.500 0.249 0.246  1.70
Co 0.500 0.751 0.754  1.70
Co 0.500 0.751 0.246  1.70
Co 0.500 0.249 0.754  1.70

---

(7)
Material: CdHgF3
Method: DFT, PBE-GGA
State: optimized geometry

Calculated values
Its space group is No. 221. The calculation puts the magnetization at 0.0 μB/f.u. The volume is 17.55 A^3/atom. As for the uncorrected formation energy: -1540 meV/atom.

a = 4.444 Å, b = 4.444 Å, c = 4.444 Å
α = 90.00°, β = 90.00°, γ = 90.00°
Atoms (fractional coordinates):
F 0.000 0.500 0.000
F 0.000 0.000 0.500
F 0.500 0.000 0.000
Hg 0.500 0.500 0.500
Cd 0.000 0.000 0.000

---

(8)
Material: SrLi3Bi
Method: DFT, PBE-GGA
State: optimized geometry

Calculated values
Its space group is No. 14. The calculation puts the magnetization at 0.0 μB/f.u. For the total energy, the calculation gives -2.619 eV per atom. The volume is 28.13 A^3/atom.

a = 7.783 Å, b = 8.108 Å, c = 9.571 Å
α = 111.32°, β = 90.00°, γ = 90.00°
Atoms (fractional coordinates):
Sr 0.992 0.699 0.248
Sr 0.008 0.301 0.752
Sr 0.492 0.301 0.252
Sr 0.508 0.699 0.748
Li 0.156 0.116 0.404
Li 0.844 0.884 0.596
Li 0.656 0.884 0.096
Li 0.344 0.116 0.904
Li 0.477 0.828 0.344
Li 0.523 0.172 0.656
Li 0.977 0.172 0.156
Li 0.023 0.828 0.844
Li 0.167 0.555 0.515
Li 0.833 0.445 0.485
Li 0.667 0.445 0.985
Li 0.333 0.555 0.015
Bi 0.231 0.913 0.596
Bi 0.769 0.087 0.404
Bi 0.731 0.087 0.904
Bi 0.269 0.913 0.096

---

(9)
Material: Ca2CdW
Method: DFT, PBE-GGA
State: optimized geometry

Calculated values
Its space group is No. 216. The calculation puts the magnetization at 2.1 μB/f.u. For the total energy, the calculation gives -3.693 eV per atom. The volume is 24.52 A^3/atom.

a = 5.177 Å, b = 5.177 Å, c = 5.177 Å
α = 60.00°, β = 60.00°, γ = 60.00°
Each line ends with the local moment (μB).
Atoms (fractional coordinates):
Ca 0.000 0.000 0.000  0.04
Ca 0.250 0.250 0.250  -0.04
W 0.750 0.750 0.750  1.76
Cd 0.500 0.500 0.500  -0.04

---

(10)
Material: BeAgPt2
Method: DFT, PBE-GGA
State: optimized geometry

Calculated values
Its space group is No. 6. The calculation puts the magnetization at 0.0 μB/f.u. For the total energy, the calculation gives -4.868 eV per atom. The volume is 14.87 A^3/atom.

a = 3.611 Å, b = 2.781 Å, c = 6.088 Å
α = 76.70°, β = 90.00°, γ = 90.00°
Atoms (fractional coordinates):
Be 0.500 0.523 0.828
Ag 0.000 0.682 0.511
Pt 0.000 0.970 0.937
Pt 0.500 0.325 0.224

---

(11)
Material: MgMn3Nb
Method: DFT, PBE-GGA
State: optimized geometry

Calculated values
Its space group is No. 221. The calculation puts the magnetization at 7.5 μB/f.u. For the total energy, the calculation gives -6.354 eV per atom. The volume is 18.12 A^3/atom.

a = 4.491 Å, b = 4.491 Å, c = 4.491 Å
α = 90.00°, β = 90.00°, γ = 90.00°
Each line ends with the local moment (μB).
Atoms (fractional coordinates):
Nb 0.500 0.500 0.500  -1.86
Mn 0.000 0.500 0.000  3.33
Mn 0.000 0.000 0.500  3.14
Mn 0.500 0.000 0.000  3.20
Mg 0.000 0.000 0.000  -0.04

---

(12)
Material: La3ReN5
Method: DFT, PBE-GGA
State: optimized geometry

Calculated values
Its space group is No. 140. The calculation puts the magnetization at 0.0 μB/f.u. The volume is 15.70 A^3/atom. As for the uncorrected formation energy: -1079 meV/atom.

a = 6.939 Å, b = 6.939 Å, c = 7.651 Å
α = 116.96°, β = 116.96°, γ = 90.00°
Atoms (fractional coordinates):
La 0.675 0.175 0.000
La 0.325 0.825 0.000
La 0.825 0.675 0.000
La 0.175 0.325 0.000
La 0.250 0.250 0.500
La 0.750 0.750 0.500
Re 0.750 0.250 0.500
Re 0.250 0.750 0.500
N 0.995 0.495 0.696
N 0.701 0.201 0.696
N 0.201 0.995 0.696
N 0.495 0.701 0.696
N 0.005 0.505 0.304
N 0.299 0.799 0.304
N 0.799 0.005 0.304
N 0.505 0.299 0.304
N 0.500 0.500 0.000
N 0.000 0.000 0.000

---

(13)
Material: Nd4BiSe2S
Method: DFT, PBE-GGA
State: optimized geometry

Calculated values
Its space group is No. 74. The calculation puts the magnetization at 0.0 μB/f.u. The volume is 28.10 A^3/atom. As for the uncorrected formation energy: -1614 meV/atom.

a = 8.600 Å, b = 8.600 Å, c = 8.585 Å
α = 119.94°, β = 119.94°, γ = 90.04°
Atoms (fractional coordinates):
Nd 0.244 0.729 0.986
Nd 0.771 0.256 0.514
Nd 0.229 0.744 0.486
Nd 0.756 0.271 0.014
Nd 0.758 0.742 0.017
Nd 0.758 0.742 0.483
Nd 0.242 0.258 0.517
Nd 0.242 0.258 0.983
Bi 0.500 0.500 0.500
Bi 0.000 0.000 0.000
Se 0.500 0.000 0.000
Se 0.500 0.000 0.500
Se 0.000 0.000 0.500
Se 0.500 0.500 0.000
S 0.000 0.500 0.000
S 0.000 0.500 0.500

---

(14)
Material: Th3Pd8Au2
Method: DFT, PBE-GGA
State: optimized geometry

Calculated values
Its space group is No. 166. The calculation puts the magnetization at 0.0 μB/f.u. For the total energy, the calculation gives -5.973 eV per atom. The volume is 20.41 A^3/atom.

a = 5.416 Å, b = 5.416 Å, c = 10.903 Å
α = 75.62°, β = 75.62°, γ = 60.00°
Atoms (fractional coordinates):
Th 0.000 0.000 0.000
Th 0.808 0.808 0.578
Th 0.192 0.192 0.422
Pd 0.721 0.721 0.837
Pd 0.279 0.279 0.163
Pd 0.228 0.732 0.309
Pd 0.732 0.228 0.309
Pd 0.732 0.732 0.309
Pd 0.268 0.772 0.691
Pd 0.772 0.268 0.691
Pd 0.268 0.268 0.691
Au 0.637 0.637 0.090
Au 0.363 0.363 0.910

---

(15)
Material: NaBe2B
Method: DFT, PBE-GGA
State: optimized geometry

Calculated values
Its space group is No. 1. The calculation puts the magnetization at 0.0 μB/f.u. For the total energy, the calculation gives -3.778 eV per atom. The volume is 13.07 A^3/atom.

a = 3.414 Å, b = 3.415 Å, c = 5.203 Å
α = 92.36°, β = 92.97°, γ = 120.01°
Atoms (fractional coordinates):
Na 0.790 0.429 0.949
B 0.817 0.452 0.449
Be 0.149 0.118 0.448
Be 0.482 0.784 0.448

---

(16)
Material: Dy3YBi4
Method: DFT, PBE-GGA
State: optimized geometry

Calculated values
Its space group is No. 65. The calculation puts the magnetization at 0.0 μB/f.u. For the total energy, the calculation gives -5.343 eV per atom. The volume is 31.77 A^3/atom.

a = 4.481 Å, b = 7.756 Å, c = 7.756 Å
α = 109.46°, β = 90.00°, γ = 90.00°
Atoms (fractional coordinates):
Dy 0.000 0.000 0.500
Dy 0.500 0.500 0.500
Dy 0.000 0.500 0.000
Y 0.500 0.000 0.000
Bi 0.000 0.250 0.250
Bi 0.500 0.750 0.250
Bi 0.000 0.750 0.750
Bi 0.500 0.250 0.750

---

(17)
Material: ZnPd3F
Method: DFT, PBE-GGA
State: optimized geometry

Calculated values
Its space group is No. 221. The calculation puts the magnetization at 0.0 μB/f.u. The volume is 16.38 A^3/atom. As for the uncorrected formation energy: 142 meV/atom.

a = 4.343 Å, b = 4.343 Å, c = 4.343 Å
α = 90.00°, β = 90.00°, γ = 90.00°
Atoms (fractional coordinates):
Zn 0.500 0.500 0.500
Pd 0.000 0.500 0.000
Pd 0.000 0.000 0.500
Pd 0.500 0.000 0.000
F 0.000 0.000 0.000

---

(18)
Material: K3Dy
Method: DFT, PBE-GGA
State: optimized geometry

Calculated values
Its space group is No. 194. The calculation puts the magnetization at 1.0 μB/f.u. For the total energy, the calculation gives -1.400 eV per atom. The volume is 56.03 A^3/atom.

a = 8.561 Å, b = 8.561 Å, c = 7.062 Å
α = 90.00°, β = 90.00°, γ = 120.00°
Each line ends with the local moment (μB).
Atoms (fractional coordinates):
K 0.172 0.344 0.250  0.01
K 0.656 0.828 0.250  0.01
K 0.172 0.828 0.250  0.01
K 0.828 0.656 0.750  0.01
K 0.344 0.172 0.750  0.01
K 0.828 0.172 0.750  0.01
Dy 0.333 0.667 0.750  0.41
Dy 0.667 0.333 0.250  0.41

---

(19)
Material: Rb3TeSe2
Method: DFT, PBE-GGA
State: optimized geometry

Calculated values
Its space group is No. 72. The calculation puts the magnetization at 0.4 μB/f.u. The volume is 42.52 A^3/atom. As for the uncorrected formation energy: -809 meV/atom.

a = 7.868 Å, b = 9.427 Å, c = 9.428 Å
α = 55.87°, β = 65.34°, γ = 65.34°
Each line ends with the local moment (μB).
Atoms (fractional coordinates):
Rb 0.500 0.250 0.750  0.00
Rb 0.500 0.750 0.250  0.00
Rb 0.215 0.035 0.535  0.00
Rb 0.785 0.465 0.965  0.00
Rb 0.785 0.965 0.465  0.00
Rb 0.215 0.535 0.035  0.00
Te 0.000 0.500 0.500  0.09
Te 0.000 0.000 0.000  0.09
Se 0.855 0.371 0.371  0.05
Se 0.597 0.129 0.129  0.05
Se 0.403 0.871 0.871  0.05
Se 0.145 0.629 0.629  0.05

---

(20)
Material: Be2PSe
Method: DFT, PBE-GGA
State: optimized geometry

Calculated values
Its space group is No. 99. The calculation puts the magnetization at 0.0 μB/f.u. The volume is 17.00 A^3/atom. As for the uncorrected formation energy: -28 meV/atom.

a = 3.170 Å, b = 3.170 Å, c = 6.766 Å
α = 90.00°, β = 90.00°, γ = 90.00°
Atoms (fractional coordinates):
P 0.000 0.000 0.347
Se 0.500 0.500 0.897
Be 0.000 0.000 0.026
Be 0.500 0.500 0.230